A relaxed structure of Bi3Pd7Pb2, computed with PBE.

```
data_Bi3Pd7Pb2
_symmetry_space_group_name_H-M 'P -1'
_symmetry_Int_Tables_number 2
_cell_length_a 4.294
_cell_length_b 5.649
_cell_length_c 11.480
_cell_angle_alpha 79.76
_cell_angle_beta 88.46
_cell_angle_gamma 68.76
loop_
_symmetry_equiv_pos_as_xyz
'x,y,z'
'-x,-y,-z'
loop_
_atom_site_label
_atom_site_type_symbol
_atom_site_fract_x
_atom_site_fract_y
_atom_site_fract_z
Bi1 Bi 0.000 0.000 0.000
Bi2 Bi 0.133 0.251 0.431
Pd1 Pd 0.000 0.500 0.000
Pd2 Pd 0.102 0.260 0.755
Pd3 Pd 0.240 0.093 0.205
Pd4 Pd 0.398 0.715 0.410
Pb1 Pb 0.455 0.546 0.821
```

Output
- E_form (eV per formula unit) = -2.04
- E above lowest polymorph (eV per formula unit) = 0.21



A relaxed structure of Sr12P6N, computed with PBE.

```
data_Sr12P6N
_symmetry_space_group_name_H-M 'R -3'
_symmetry_Int_Tables_number 148
_symmetry_space_group_name_Hall '-R 3'
_cell_length_a 13.1275
_cell_length_b 13.1275
_cell_length_c 12.5620
_cell_angle_alpha 90.00
_cell_angle_beta 90.00
_cell_angle_gamma 120.00
loop_
_atom_site_label
_atom_site_type_symbol
_atom_site_fract_x
_atom_site_fract_y
_atom_site_fract_z
Sr1 Sr 0.0341 0.2179 0.4001
Sr2 Sr 0.0440 0.1955 0.8916
P1 P 0.0523 0.2675 0.6556
N1 N 0.0000 0.0000 0.0000
```

Output
- raw formation energy (meV per atom) = -873



A relaxed structure of ZrCoSn, computed with PBE.

```
data_ZrCoSn
_symmetry_space_group_name_H-M 'P -6 2 m'
_symmetry_Int_Tables_number 189
_symmetry_space_group_name_Hall 'P -6 -2'
_cell_length_a 7.1430
_cell_length_b 7.1430
_cell_length_c 3.6132
_cell_angle_alpha 90.00
_cell_angle_beta 90.00
_cell_angle_gamma 120.00
loop_
_atom_site_label
_atom_site_type_symbol
_atom_site_fract_x
_atom_site_fract_y
_atom_site_fract_z
Zr1 Zr 0.0000 0.3980 0.0000
Co1 Co 0.0000 0.0000 0.0000
Co2 Co 0.3333 0.6667 0.5000
Sn1 Sn 0.0000 0.7347 0.5000
```

Output
- E_form (eV per formula unit) = -1.44



A relaxed structure of BaGe3Au, computed with PBE.

```
data_BaGe3Au
_symmetry_space_group_name_H-M 'P m -3 m'
_symmetry_Int_Tables_number 221
_symmetry_space_group_name_Hall '-P 4 2 3'
_cell_length_a 5.760
_cell_length_b 5.760
_cell_length_c 5.760
_cell_angle_alpha 90.00
_cell_angle_beta 90.00
_cell_angle_gamma 90.00
loop_
_atom_site_label
_atom_site_type_symbol
_atom_site_fract_x
_atom_site_fract_y
_atom_site_fract_z
Ba1 Ba 0.000 0.000 0.000
Ge1 Ge 0.000 0.000 0.500
Au1 Au 0.500 0.500 0.500
```

Output
- E_form (eV per formula unit) = 7.57



A relaxed structure of Sr2Mo, computed with PBE.

```
data_Sr2Mo
_symmetry_space_group_name_H-M 'P 63/m m c'
_symmetry_Int_Tables_number 194
_symmetry_space_group_name_Hall '-P 6c 2c'
_cell_length_a 5.7912
_cell_length_b 5.7912
_cell_length_c 7.2569
_cell_angle_alpha 90.00
_cell_angle_beta 90.00
_cell_angle_gamma 120.00
loop_
_atom_site_label
_atom_site_type_symbol
_atom_site_fract_x
_atom_site_fract_y
_atom_site_fract_z
Sr1 Sr 0.0000 0.0000 0.0000
Sr2 Sr 0.3333 0.6667 0.2500
Mo1 Mo 0.3333 0.6667 0.7500
```

Output
- E_form (eV per formula unit) = 3.23
- E above lowest polymorph (eV per formula unit) = 1.77



A relaxed structure of Ce2GeAu3, computed with PBE.

```
data_Ce2GeAu3
_symmetry_space_group_name_H-M 'F m m m'
_symmetry_Int_Tables_number 69
_symmetry_space_group_name_Hall '-F 2 2'
_cell_length_a 7.183
_cell_length_b 9.333
_cell_length_c 16.194
_cell_angle_alpha 90.00
_cell_angle_beta 90.00
_cell_angle_gamma 90.00
loop_
_atom_site_label
_atom_site_type_symbol
_atom_site_fract_x
_atom_site_fract_y
_atom_site_fract_z
Ce1 Ce 0.233 0.000 0.000
Ce2 Ce 0.250 0.250 0.250
Ge1 Ge 0.000 0.000 0.334
Au1 Au 0.000 0.000 0.171
Au2 Au 0.000 0.241 0.414
```

Output
- E_form (eV per formula unit) = -4.28



A relaxed structure of TaCrIr2, computed with PBE.

```
data_TaCrIr2
_symmetry_space_group_name_H-M 'P 4/m m m'
_symmetry_Int_Tables_number 123
_symmetry_space_group_name_Hall '-P 4 2'
_cell_length_a 3.976
_cell_length_b 3.976
_cell_length_c 3.774
_cell_angle_alpha 90.00
_cell_angle_beta 90.00
_cell_angle_gamma 90.00
loop_
_atom_site_label
_atom_site_type_symbol
_atom_site_fract_x
_atom_site_fract_y
_atom_site_fract_z
Ta1 Ta 0.000 0.000 0.000
Cr1 Cr 0.500 0.500 0.000
Ir1 Ir 0.000 0.500 0.500
```

Output
- E_form (eV per formula unit) = -1.75
- E above lowest polymorph (eV per formula unit) = 0.00



A relaxed structure of NdTmLuGa, computed with PBE.

```
data_NdTmLuGa
_symmetry_space_group_name_H-M 'F -4 3 m'
_symmetry_Int_Tables_number 216
_symmetry_space_group_name_Hall 'F -4 2 3'
_cell_length_a 7.524
_cell_length_b 7.524
_cell_length_c 7.524
_cell_angle_alpha 90.00
_cell_angle_beta 90.00
_cell_angle_gamma 90.00
loop_
_atom_site_label
_atom_site_type_symbol
_atom_site_fract_x
_atom_site_fract_y
_atom_site_fract_z
Nd1 Nd 0.000 0.000 0.000
Tm1 Tm 0.000 0.000 0.500
Lu1 Lu 0.250 0.250 0.750
Ga1 Ga 0.250 0.250 0.250
```

Output
- E_form (eV per formula unit) = -0.40



A relaxed structure of TaAlSbTe2, computed with PBE.

```
data_TaAlSbTe2
_symmetry_space_group_name_H-M 'P 4/m m m'
_symmetry_Int_Tables_number 123
_symmetry_space_group_name_Hall '-P 4 2'
_cell_length_a 5.185
_cell_length_b 5.185
_cell_length_c 5.094
_cell_angle_alpha 90.00
_cell_angle_beta 90.00
_cell_angle_gamma 90.00
loop_
_atom_site_label
_atom_site_type_symbol
_atom_site_fract_x
_atom_site_fract_y
_atom_site_fract_z
Ta1 Ta 0.000 0.000 0.000
Al1 Al 0.500 0.500 0.500
Sb1 Sb 0.500 0.500 0.000
Te1 Te 0.000 0.500 0.500
```

Output
- raw formation energy (meV per atom) = 1069
- E above lowest polymorph (eV per formula unit) = 3.36



A relaxed structure of DyHoTeSe, computed with PBE.

```
data_DyHoTeSe
_symmetry_space_group_name_H-M 'R 3 m'
_symmetry_Int_Tables_number 160
_symmetry_space_group_name_Hall 'R 3 -2"'
_cell_length_a 4.0837
_cell_length_b 4.0837
_cell_length_c 21.8472
_cell_angle_alpha 90.00
_cell_angle_beta 90.00
_cell_angle_gamma 120.00
loop_
_atom_site_label
_atom_site_type_symbol
_atom_site_fract_x
_atom_site_fract_y
_atom_site_fract_z
Dy1 Dy 0.0000 0.0000 0.0000
Ho1 Ho 0.0000 0.0000 0.1873
Te1 Te 0.0000 0.0000 0.4265
Se1 Se 0.0000 0.0000 0.5950
```

Output
- raw formation energy (meV per atom) = -1547



A relaxed structure of CaP2S2, computed with PBE.

```
data_CaP2S2
_symmetry_space_group_name_H-M 'P 4/m m m'
_symmetry_Int_Tables_number 123
_symmetry_space_group_name_Hall '-P 4 2'
_cell_length_a 4.709
_cell_length_b 4.709
_cell_length_c 4.462
_cell_angle_alpha 90.00
_cell_angle_beta 90.00
_cell_angle_gamma 90.00
loop_
_atom_site_label
_atom_site_type_symbol
_atom_site_fract_x
_atom_site_fract_y
_atom_site_fract_z
Ca1 Ca 0.000 0.000 0.000
P1 P 0.500 0.500 0.000
P2 P 0.500 0.500 0.500
S1 S 0.000 0.500 0.500
```

Output
- raw formation energy (meV per atom) = -276
- E above lowest polymorph (eV per formula unit) = 0.00



A relaxed structure of RbCdSbTe2, computed with PBE.

```
data_RbCdSbTe2
_symmetry_space_group_name_H-M 'P 4/m m m'
_symmetry_Int_Tables_number 123
_symmetry_space_group_name_Hall '-P 4 2'
_cell_length_a 5.884
_cell_length_b 5.884
_cell_length_c 5.524
_cell_angle_alpha 90.00
_cell_angle_beta 90.00
_cell_angle_gamma 90.00
loop_
_atom_site_label
_atom_site_type_symbol
_atom_site_fract_x
_atom_site_fract_y
_atom_site_fract_z
Rb1 Rb 0.000 0.000 0.000
Cd1 Cd 0.500 0.500 0.500
Sb1 Sb 0.500 0.500 0.000
Te1 Te 0.000 0.500 0.500
```

Output
- raw formation energy (meV per atom) = 6
- E above lowest polymorph (eV per formula unit) = 0.00